No. 1
The following is a DFT calculation (SCAN) of a crystal of DyErAg2 relaxed with PBEsol.

```
data_DyErAg2
_chemical_formula_sum 'Dy4 Er4 Ag8'
_cell_length_a 7.102
_cell_length_b 7.102
_cell_length_c 7.102
_cell_angle_alpha 90.00
_cell_angle_beta 90.00
_cell_angle_gamma 90.00
_space_group_name_H-M_alt 'F m -3 m'
_space_group_IT_number 225
_space_group_name_Hall '-F 4 2 3'
loop_
_atom_site_label
_atom_site_fract_x
_atom_site_fract_y
_atom_site_fract_z
Dy1 0.000 0.000 0.000
Er1 0.000 0.000 0.500
Ag1 0.250 0.250 0.250
```

As for the energy of formation from the pure elements: -392 meV/atom.

No. 2
The following is a DFT calculation (SCAN) of a crystal of DyGaAg relaxed with PBEsol.

```
data_DyGaAg
_chemical_formula_sum 'Dy4 Ga4 Ag4'
_cell_length_a 10.262
_cell_length_b 4.480
_cell_length_c 7.048
_cell_angle_alpha 90.00
_cell_angle_beta 131.74
_cell_angle_gamma 90.00
_space_group_name_H-M_alt 'C 1 2/m 1'
_space_group_IT_number 12
loop_
_space_group_symop_operation_xyz
'x,y,z'
'-x,-y,-z'
'-x,y,-z'
'x,-y,z'
'x+1/2,y+1/2,z'
'-x+1/2,-y+1/2,-z'
'-x+1/2,y+1/2,-z'
'x+1/2,-y+1/2,z'
loop_
_atom_site_label
_atom_site_fract_x
_atom_site_fract_y
_atom_site_fract_z
Dy1 0.035 0.000 0.292
Ga1 0.159 0.500 0.115
Ag1 0.173 0.500 0.722
```

As for the energy of formation from the pure elements: -582 meV/atom.

No. 3
The following is a DFT calculation (SCAN) of a crystal of DyAgGe relaxed with PBEsol.

```
data_DyAgGe
_chemical_formula_sum 'Dy3 Ag3 Ge3'
_cell_length_a 7.0204
_cell_length_b 7.0204
_cell_length_c 4.1647
_cell_angle_alpha 90.00
_cell_angle_beta 90.00
_cell_angle_gamma 120.00
_space_group_name_H-M_alt 'P -6 2 m'
_space_group_IT_number 189
_space_group_name_Hall 'P -6 -2'
loop_
_atom_site_label
_atom_site_fract_x
_atom_site_fract_y
_atom_site_fract_z
Dy1 0.0000 0.4178 0.0000
Ag1 0.0000 0.7503 0.5000
Ge1 0.0000 0.0000 0.0000
Ge2 0.3333 0.6667 0.5000
```

As for the energy of formation from the pure elements: -740 meV/atom.

No. 4
The following is a DFT calculation (SCAN) of a crystal of DyAgHg2 relaxed with PBEsol.

```
data_DyAgHg2
_chemical_formula_sum 'Dy4 Ag4 Hg8'
_cell_length_a 6.930
_cell_length_b 6.930
_cell_length_c 6.930
_cell_angle_alpha 90.00
_cell_angle_beta 90.00
_cell_angle_gamma 90.00
_space_group_name_H-M_alt 'F m -3 m'
_space_group_IT_number 225
_space_group_name_Hall '-F 4 2 3'
loop_
_atom_site_label
_atom_site_fract_x
_atom_site_fract_y
_atom_site_fract_z
Dy1 0.000 0.000 0.000
Ag1 0.000 0.000 0.500
Hg1 0.250 0.250 0.250
```

As for the energy of formation from the pure elements: -456 meV/atom.

No. 5
The following is a DFT calculation (SCAN) of a crystal of DyInAg2 relaxed with PBEsol.

```
data_DyInAg2
_chemical_formula_sum 'Dy4 In4 Ag8'
_cell_length_a 6.853
_cell_length_b 6.853
_cell_length_c 6.853
_cell_angle_alpha 90.00
_cell_angle_beta 90.00
_cell_angle_gamma 90.00
_space_group_name_H-M_alt 'F m -3 m'
_space_group_IT_number 225
_space_group_name_Hall '-F 4 2 3'
loop_
_atom_site_label
_atom_site_fract_x
_atom_site_fract_y
_atom_site_fract_z
Dy1 0.000 0.000 0.000
In1 0.000 0.000 0.500
Ag1 0.250 0.250 0.250
```

As for the energy of formation from the pure elements: -424 meV/atom.

No. 6
The following is a DFT calculation (SCAN) of a crystal of DyAgSb2 relaxed with PBEsol.

```
data_DyAgSb2
_chemical_formula_sum 'Dy2 Ag2 Sb4'
_cell_length_a 4.289
_cell_length_b 4.289
_cell_length_c 10.125
_cell_angle_alpha 90.00
_cell_angle_beta 90.00
_cell_angle_gamma 90.00
_space_group_name_H-M_alt 'P 4/n m m'
_space_group_IT_number 129
loop_
_space_group_symop_operation_xyz
'x,y,z'
'-x,-y,-z'
'-y+1/2,x,z'
'y+1/2,-x,-z'
'-x+1/2,-y+1/2,z'
'x+1/2,y+1/2,-z'
'y,-x+1/2,z'
'-y,x+1/2,-z'
'x+1/2,-y,-z'
'-x+1/2,y,z'
'-y,-x,-z'
'y,x,z'
'-x,y+1/2,-z'
'x,-y+1/2,z'
'y+1/2,x+1/2,-z'
'-y+1/2,-x+1/2,z'
loop_
_atom_site_label
_atom_site_fract_x
_atom_site_fract_y
_atom_site_fract_z
Dy1 0.250 0.250 0.238
Ag1 0.250 0.750 0.500
Sb1 0.250 0.250 0.685
Sb2 0.250 0.750 0.000
```

The value obtained for the formation energy from raw total energies is -0.6731 eV per atom.